Here is a relaxed structure of Mg3InPd2 from OQMD. Energies are from PBE-GGA.

VASP energy (eV per atom): -3.500

a = 3.1599 Å, b = 3.1599 Å, c = 11.0294 Å
α = 90.00°, β = 90.00°, γ = 90.00°
Last column: nearest neighbours and their distance in Å.
Positions (direct):
Mg 0.0000 0.0000 0.0000  8 Pd 2.77
Mg 0.0000 0.0000 0.7103  4 Pd 2.72
Mg 0.0000 0.0000 0.2897  4 Pd 2.72
Pd 0.5000 0.5000 0.8510  8 Mg 2.72-2.77
Pd 0.5000 0.5000 0.1490  8 Mg 2.72-2.77
In 0.5000 0.5000 0.5000  4 In 3.16, 8 Mg 3.22

---

Here is a relaxed structure of LuN2 from OQMD. Energies are from PBE-GGA.

VASP energy (eV per atom): -6.110

a = 7.0498 Å, b = 7.0498 Å, c = 7.0498 Å
α = 60.00°, β = 60.00°, γ = 60.00°
Last column: nearest neighbours and their distance in Å.
Positions (direct):
N 0.5000 0.0000 0.0000  2 Lu 2.16
N 0.0000 0.0000 0.5000  2 Lu 2.16
N 0.0000 0.0000 0.0000  2 Lu 2.16
N 0.0000 0.5000 0.0000  2 Lu 2.16
Lu 0.1250 0.1250 0.1250  4 N 2.16
Lu 0.8750 0.8750 0.8750  4 N 2.16

---

Here is a relaxed structure of PrGe3P from OQMD. Energies are from PBE-GGA.

VASP energy (eV per atom): -4.692

a = 4.8394 Å, b = 4.8394 Å, c = 4.8394 Å
α = 90.00°, β = 90.00°, γ = 90.00°
Last column: nearest neighbours and their distance in Å.
Positions (direct):
Ge 0.5000 0.5000 0.0000  2 P 2.42
Ge 0.0000 0.5000 0.5000  2 P 2.42
Ge 0.5000 0.0000 0.5000  2 P 2.42
Pr 0.0000 0.0000 0.0000  12 Ge 3.42
P 0.5000 0.5000 0.5000  6 Ge 2.42

---

Here is a relaxed structure of LuFeCuPb from OQMD. Energies are from PBE-GGA.

VASP energy (eV per atom): -4.911

a = 4.7466 Å, b = 4.7466 Å, c = 4.7466 Å
α = 60.00°, β = 60.00°, γ = 60.00°
Last column: nearest neighbours and their distance in Å.
Positions (direct):
Pb 0.0000 0.0000 0.0000  4 Fe 2.91, 4 Lu 2.91
Cu 0.5000 0.5000 0.5000  4 Lu 2.91, 4 Fe 2.91
Lu 0.2500 0.2500 0.2500  4 Cu 2.91, 4 Pb 2.91
Fe 0.7500 0.7500 0.7500  4 Pb 2.91, 4 Cu 2.91

---

Here is a relaxed structure of Hf2NiPt from OQMD. Energies are from PBE-GGA.

Formation energy (eV per atom): -0.486

a = 4.5177 Å, b = 4.5177 Å, c = 4.5177 Å
α = 60.00°, β = 60.00°, γ = 60.00°
Last column: nearest neighbours and their distance in Å.
Positions (direct):
Pt 0.5000 0.5000 0.5000  4 Hf 2.77, 4 Ni 2.77
Hf 0.7500 0.7500 0.7500  4 Pt 2.77, 4 Hf 2.77
Hf 0.0000 0.0000 0.0000  4 Ni 2.77, 4 Hf 2.77
Ni 0.2500 0.2500 0.2500  4 Hf 2.77, 4 Pt 2.77

---

Here is a relaxed structure of ZrW from OQMD. Energies are from PBE-GGA.

Formation energy (eV per atom): 0.162

a = 5.5902 Å, b = 7.2684 Å, c = 4.7418 Å
α = 90.00°, β = 90.00°, γ = 78.47°
Last column: nearest neighbours and their distance in Å.
Positions (direct):
Zr 0.1866 0.5362 0.0000  5 W 2.83-2.97, 3 Zr 2.99-3.13
Zr 0.6860 0.0678 0.5000  4 W 2.71-2.93, 3 Zr 2.92-2.97
Zr 0.8591 0.6349 0.5000  4 W 2.80-2.89, 4 Zr 2.99-3.13
Zr 0.3011 0.8390 0.5000  4 W 2.83-2.98, 4 Zr 2.97-3.13
Zr 0.9889 0.9705 0.0000  3 W 2.82-3.01, 5 Zr 2.92-3.13
W 0.7585 0.3556 0.0000  6 W 2.77-3.06, 2 Zr 2.84-2.95
W 0.5772 0.7589 0.0000  2 W 2.81-2.90, 6 Zr 2.83-3.01
W 0.1059 0.2521 0.5000  3 W 2.69-2.88, 3 Zr 2.85-2.98
W 0.4766 0.4378 0.5000  3 W 2.69-2.84, 5 Zr 2.71-2.88
W 0.3934 0.1474 0.0000  4 W 2.77-2.88, 4 Zr 2.82-2.87

---

Here is a relaxed structure of HfWC2 from OQMD. Energies are from PBE-GGA.

VASP energy (eV per atom): -10.681

a = 3.1924 Å, b = 3.1924 Å, c = 4.4615 Å
α = 90.00°, β = 90.00°, γ = 90.00°
Last column: nearest neighbours and their distance in Å.
Positions (direct):
C 0.5000 0.5000 0.0000  2 W 2.23, 4 Hf 2.26
C 0.0000 0.0000 0.5000  2 Hf 2.23, 4 W 2.26
W 0.5000 0.5000 0.5000  6 C 2.23-2.26
Hf 0.0000 0.0000 0.0000  6 C 2.23-2.26

---

Here is a relaxed structure of DyPa2O4 from OQMD. Energies are from PBE-GGA.

VASP energy (eV per atom): -8.440

a = 6.9634 Å, b = 6.9634 Å, c = 6.9634 Å
α = 120.00°, β = 90.01°, γ = 120.00°
Last column: nearest neighbours and their distance in Å.
Positions (direct):
Pa 0.8750 0.2500 0.6250  6 O 2.46
Pa 0.3750 0.7500 0.1250  6 O 2.46
Pa 0.3750 0.7500 0.6250  6 O 2.46
Pa 0.3750 0.2500 0.6250  6 O 2.46
O 0.1266 0.7511 0.3755  1 Dy 2.14
O 0.1255 0.7489 0.8744  1 Dy 2.14
O 0.1256 0.2511 0.8745  1 Dy 2.14
O 0.6234 0.7489 0.8745  1 Dy 2.14
O 0.6244 0.2489 0.3755  1 Dy 2.14
O 0.6245 0.7511 0.3756  1 Dy 2.14
O 0.6245 0.2489 0.8734  1 Dy 2.14
O 0.1255 0.2511 0.3766  1 Dy 2.14
Dy 0.7500 0.5000 0.2500  4 O 2.14
Dy 0.0000 0.0000 0.0000  4 O 2.14

---

What did the third record say?
Here is a relaxed structure of PrGe3P from OQMD. Energies are from PBE-GGA.

VASP energy (eV per atom): -4.692

a = 4.8394 Å, b = 4.8394 Å, c = 4.8394 Å
α = 90.00°, β = 90.00°, γ = 90.00°
Last column: nearest neighbours and their distance in Å.
Positions (direct):
Ge 0.5000 0.5000 0.0000  2 P 2.42
Ge 0.0000 0.5000 0.5000  2 P 2.42
Ge 0.5000 0.0000 0.5000  2 P 2.42
Pr 0.0000 0.0000 0.0000  12 Ge 3.42
P 0.5000 0.5000 0.5000  6 Ge 2.42

---

Which formula does entry 7 have?
HfWC2

---

Please write out number 7 again, unchanged.
Here is a relaxed structure of HfWC2 from OQMD. Energies are from PBE-GGA.

VASP energy (eV per atom): -10.681

a = 3.1924 Å, b = 3.1924 Å, c = 4.4615 Å
α = 90.00°, β = 90.00°, γ = 90.00°
Last column: nearest neighbours and their distance in Å.
Positions (direct):
C 0.5000 0.5000 0.0000  2 W 2.23, 4 Hf 2.26
C 0.0000 0.0000 0.5000  2 Hf 2.23, 4 W 2.26
W 0.5000 0.5000 0.5000  6 C 2.23-2.26
Hf 0.0000 0.0000 0.0000  6 C 2.23-2.26